VASP calculation (PBE) on a relaxed structure of PuTl3Cu2O6.

The calculation puts the density at 7.72 Mg/m³. As for the formation energy from raw total energies: -1.21 eV per atom. The calculation puts the total energy at -6.158 eV/atom.

extended XYZ file:
```
12
Lattice="-0.975 4.951 -3.441 -0.852 -5.571 -2.354 -6.864 0.142 2.150" Properties=species:S:1:pos:R:3 pbc="T T T"
Tl -5.893 -1.960 -1.151
Cu -3.151 -2.017 -2.010
Tl 0.000 0.000 0.000
Pu -3.432 0.071 1.075
Tl -2.798 1.483 -2.495
O -2.652 -0.916 -0.567
Cu -5.541 1.539 -1.636
O -3.106 -3.889 -1.823
O -5.065 0.769 0.014
O -3.627 -1.247 -3.659
O -5.585 3.411 -1.822
O -6.040 0.439 -3.078
```